Entry 1:
DFT (PBE-GGA) results for an optimized crystal structure of SrPrPa2O8.

Properties
The value obtained for the total moment is 0.804 μB/f.u. Its energy relative to the elements, uncorrected is -39.779 eV per formula unit.

a = 5.599 Å, b = 5.599 Å, c = 10.875 Å
α = 90.00°, β = 90.00°, γ = 90.00°
Space group I-4m2 (No. 119)
Unique sites:
1 Sr 0.000 0.000 0.000 x2
2 Pr 0.000 0.500 0.250 x2
3 Pa 0.000 0.000 0.500 x2
4 Pa 0.000 0.500 0.750 x2
5 O 0.223 0.245 0.627 x16

=====

Entry 2:
DFT (PBE-GGA) results for an optimized crystal structure of PuAlFe2.

Properties
The final energy comes out at -8.817 eV per atom. The value obtained for the total moment is 1.732 μB/f.u.

a = 4.395 Å, b = 4.395 Å, c = 3.103 Å
α = 90.00°, β = 90.00°, γ = 90.00°
Space group P4/mmm (No. 123)
Unique sites:
1 Pu 0.000 0.000 0.000 x1
2 Al 0.500 0.500 0.000 x1
3 Fe 0.000 0.500 0.500 x2